1.
Density functional theory data (PBE) for a geometry-optimized TlNi3Ru structure.

Cell and atoms, written as POSCAR:
```
TlNi3Ru
1.0
4.544 0.000 0.000
0.000 4.544 0.000
0.000 0.000 4.544
Ni Ru Tl
3 1 1
Cartesian
2.272 0.000 0.000
0.000 2.272 0.000
0.000 0.000 2.272
0.000 0.000 0.000
2.272 2.272 2.272
```

Values from the calculation:
Symmetry = No. 221
ΔE_f = 1.103 eV per atom
DOS(E_F) = 8.08 states/eV/f.u.

***

2.
Density functional theory data (PBE) for a geometry-optimized TlNi2Ru structure.

Cell and atoms, written as POSCAR:
```
TlNi2Ru
1.0
-3.044 -3.391 -0.238
-1.774 -3.474 2.367
-3.865 2.070 1.950
Tl Ni Ru
1 2 1
Cartesian
-2.117 -1.253 0.992
-6.478 -3.606 3.043
-3.795 1.962 1.912
-4.501 -2.225 2.123
```

Values from the calculation:
Symmetry = No. 8
ΔE_f = 0.394 eV per atom
DOS(E_F) = 5.07 states/eV/f.u.

***

3.
Density functional theory data (PBE) for a geometry-optimized TlNi2Ru structure.

Cell and atoms, written as POSCAR:
```
TlNi2Ru
1.0
3.919 0.000 0.000
0.000 3.914 0.000
0.000 0.000 3.800
Tl Ni Ru
1 2 1
Cartesian
0.000 1.957 1.900
0.000 0.000 0.000
1.959 1.957 0.000
1.959 0.000 1.900
```

Values from the calculation:
Symmetry = No. 123
ΔE_f = 0.410 eV per atom
DOS(E_F) = 5.19 states/eV/f.u.

***

4.
Density functional theory data (PBE) for a geometry-optimized TlNiRu2 structure.

Cell and atoms, written as POSCAR:
```
TlNiRu2
1.0
3.030 0.000 0.000
0.000 3.030 0.000
0.000 0.000 6.707
Ru Tl Ni
2 1 1
Cartesian
0.000 0.000 3.684
0.000 0.000 6.377
1.515 1.515 1.677
1.515 1.515 5.030
```

Values from the calculation:
Symmetry = No. 123
ΔE_f = 0.495 eV per atom
DOS(E_F) = 5.48 states/eV/f.u.

***

5.
Density functional theory data (PBE) for a geometry-optimized TlNi2Ru structure.

Cell and atoms, written as POSCAR:
```
TlNi2Ru
1.0
5.133 0.013 0.030
2.368 4.555 -0.030
-3.252 -3.102 2.480
Ni Tl Ru
2 1 1
Cartesian
0.127 0.078 0.000
1.343 1.814 1.225
2.894 -0.355 1.255
3.635 2.213 0.000
```

Values from the calculation:
Symmetry = No. 44
ΔE_f = 0.434 eV per atom
DOS(E_F) = 6.67 states/eV/f.u.

***

6.
Density functional theory data (PBE) for a geometry-optimized TlNiRu2 structure.

Cell and atoms, written as POSCAR:
```
TlNiRu2
1.0
4.764 0.000 0.000
1.454 4.536 0.000
-3.109 -2.268 2.808
Ru Ni Tl
2 1 1
Cartesian
0.727 2.268 1.404
0.000 0.000 0.000
2.382 0.000 1.404
3.109 2.268 0.000
```

Values from the calculation:
Symmetry = No. 119
ΔE_f = 0.464 eV per atom
DOS(E_F) = 3.94 states/eV/f.u.

***

7.
Density functional theory data (PBE) for a geometry-optimized TlNiRu2 structure.

Cell and atoms, written as POSCAR:
```
TlNiRu2
1.0
2.975 0.000 0.000
0.000 4.541 0.000
0.000 0.000 4.606
Ru Ni Tl
2 1 1
Cartesian
0.000 0.000 0.000
1.487 2.271 0.000
0.000 2.271 2.303
1.487 0.000 2.303
```

Values from the calculation:
Symmetry = No. 47
ΔE_f = 0.604 eV per atom
DOS(E_F) = 5.23 states/eV/f.u.

***

8.
Density functional theory data (PBE) for a geometry-optimized TlNi2Ru structure.

Cell and atoms, written as POSCAR:
```
TlNi2Ru
1.0
0.000 3.077 3.077
3.077 0.000 3.077
3.077 3.077 0.000
Ni Tl Ru
2 1 1
Cartesian
1.538 1.538 1.538
4.615 4.615 4.615
3.077 3.077 3.077
0.000 0.000 0.000
```

Values from the calculation:
Symmetry = No. 225
ΔE_f = 0.434 eV per atom
DOS(E_F) = 5.91 states/eV/f.u.

***

9.
Density functional theory data (PBE) for a geometry-optimized TlNiRu structure.

Cell and atoms, written as POSCAR:
```
TlNiRu
1.0
4.288 0.000 0.000
-2.144 3.713 0.000
0.000 0.000 3.094
Tl Ni Ru
1 1 1
Cartesian
0.000 2.476 2.170
0.000 0.000 0.178
2.144 1.238 0.745
```

Values from the calculation:
Symmetry = No. 156
ΔE_f = 0.604 eV per atom
DOS(E_F) = 4.63 states/eV/f.u.

***

10.
Density functional theory data (PBE) for a geometry-optimized TlNi2Ru structure.

Cell and atoms, written as POSCAR:
```
TlNi2Ru
1.0
3.547 0.000 0.000
0.000 2.869 -0.007
0.000 2.879 5.758
Ru Tl Ni
1 1 2
Cartesian
1.774 1.437 1.438
1.774 4.311 4.313
0.000 2.866 0.209
0.000 2.877 2.659
```

Values from the calculation:
Symmetry = No. 47
ΔE_f = 0.361 eV per atom
DOS(E_F) = 6.41 states/eV/f.u.

***

11.
Density functional theory data (PBE) for a geometry-optimized TlNiRu2 structure.

Cell and atoms, written as POSCAR:
```
TlNiRu2
1.0
4.005 0.000 0.000
0.000 3.905 0.000
0.000 0.000 3.905
Ru Tl Ni
2 1 1
Cartesian
0.000 0.000 0.000
0.000 1.952 1.952
2.003 1.952 0.000
2.003 0.000 1.952
```

Values from the calculation:
Symmetry = No. 123
ΔE_f = 0.573 eV per atom
DOS(E_F) = 6.53 states/eV/f.u.

***

12.
Density functional theory data (PBE) for a geometry-optimized TlNiRu2 structure.

Cell and atoms, written as POSCAR:
```
TlNiRu2
1.0
-6.769 -1.387 2.449
2.787 -4.198 5.325
-1.857 -0.799 5.389
Ni Ru Tl
2 4 2
Cartesian
-0.530 -3.895 7.301
-1.991 -2.793 3.887
-5.028 -5.259 10.556
-3.980 -1.516 3.411
0.065 -3.072 5.114
-2.735 -2.921 7.246
-5.309 -2.489 5.863
0.000 0.000 0.000
```

Values from the calculation:
Symmetry = No. 122
ΔE_f = 0.843 eV per atom
DOS(E_F) = 6.76 states/eV/f.u.

***

13.
Density functional theory data (PBE) for a geometry-optimized TlNi2Ru2 structure.

Cell and atoms, written as POSCAR:
```
TlNi2Ru2
1.0
-4.835 2.316 4.811
-5.050 -4.090 -3.107
0.694 -2.185 1.749
Ru Ni Tl
4 4 2
Cartesian
-6.237 -2.711 -0.913
-7.387 -0.527 2.272
-3.649 0.937 2.618
-2.498 -1.247 -0.567
-7.085 -2.952 1.499
-2.107 -1.007 1.954
-3.834 -3.435 -0.393
-5.358 -0.525 3.847
0.000 0.000 0.000
-4.943 -0.887 0.852
```

Values from the calculation:
Symmetry = No. 127
ΔE_f = 0.482 eV per atom
DOS(E_F) = 7.07 states/eV/f.u.

***

14.
Density functional theory data (PBE) for a geometry-optimized TlNi2Ru structure.

Cell and atoms, written as POSCAR:
```
TlNi2Ru
1.0
-6.562 4.074 3.889
-8.011 2.682 1.849
-7.374 1.361 4.308
Ni Ru Tl
2 1 1
Cartesian
-21.809 8.065 9.982
-11.112 4.109 5.086
-5.487 2.029 2.511
-16.460 6.087 7.534
```

Values from the calculation:
Symmetry = No. 166
ΔE_f = 0.543 eV per atom
DOS(E_F) = 6.05 states/eV/f.u.

***

15.
Density functional theory data (PBE) for a geometry-optimized TlNiRu2 structure.

Cell and atoms, written as POSCAR:
```
TlNiRu2
1.0
-7.393 4.921 -0.187
-8.576 2.313 0.138
-7.659 3.778 2.445
Ru Ni Tl
2 1 1
Cartesian
-0.015 0.007 0.002
-6.088 2.838 0.617
-17.593 8.200 1.783
-11.746 5.474 1.191
```

Values from the calculation:
Symmetry = No. 160
ΔE_f = 0.532 eV per atom
DOS(E_F) = 5.14 states/eV/f.u.

***

16.
Density functional theory data (PBE) for a geometry-optimized TlNi4Ru structure.

Cell and atoms, written as POSCAR:
```
TlNi4Ru
1.0
-1.633 2.185 3.983
-4.133 -1.452 2.028
0.073 -2.324 4.231
Ni Tl Ru
4 1 1
Cartesian
-3.590 0.162 4.290
-2.742 -2.080 4.413
-1.498 -0.271 5.386
-3.554 -0.994 6.394
0.000 0.000 0.000
-1.423 -0.398 2.560
```

Values from the calculation:
Symmetry = No. 216
ΔE_f = 0.284 eV per atom
DOS(E_F) = 8.32 states/eV/f.u.

***

17.
Density functional theory data (PBE) for a geometry-optimized TlNi2Ru structure.

Cell and atoms, written as POSCAR:
```
TlNi2Ru
1.0
-4.355 1.112 0.618
-3.990 -1.741 1.278
0.056 1.091 4.691
Tl Ru Ni
1 1 2
Cartesian
-2.072 0.115 1.647
-6.217 0.346 4.940
-4.075 0.285 3.492
-0.014 1.036 4.493
```

Values from the calculation:
Symmetry = No. 12
ΔE_f = 0.422 eV per atom
DOS(E_F) = 6.30 states/eV/f.u.

***

18.
Density functional theory data (PBE) for a geometry-optimized TlNiRu structure.

Cell and atoms, written as POSCAR:
```
TlNiRu
1.0
2.964 0.000 0.000
-1.482 2.567 0.000
0.000 0.000 6.451
Ru Tl Ni
1 1 1
Cartesian
1.482 0.856 1.977
0.000 1.711 4.351
0.000 0.000 0.123
```

Values from the calculation:
Symmetry = No. 156
ΔE_f = 0.613 eV per atom
DOS(E_F) = 3.42 states/eV/f.u.

***

19.
Density functional theory data (PBE) for a geometry-optimized TlNiRu2 structure.

Cell and atoms, written as POSCAR:
```
TlNiRu2
1.0
-0.518 -4.786 1.027
1.738 -1.131 4.464
-3.085 3.460 -1.655
Ru Ni Tl
2 1 1
Cartesian
0.610 -2.958 2.746
0.000 0.000 0.000
-1.496 -2.142 1.059
-0.369 -0.314 2.777
```

Values from the calculation:
Symmetry = No. 139
ΔE_f = 0.554 eV per atom
DOS(E_F) = 5.62 states/eV/f.u.

***

20.
Density functional theory data (PBE) for a geometry-optimized TlNiRu2 structure.

Cell and atoms, written as POSCAR:
```
TlNiRu2
1.0
4.645 -0.020 0.018
3.764 2.722 0.018
0.942 0.303 4.897
Tl Ni Ru
1 1 2
Cartesian
7.013 2.254 3.700
2.338 0.751 1.233
4.738 1.522 2.251
8.347 2.682 0.252
```

Values from the calculation:
Symmetry = No. 12
ΔE_f = 0.462 eV per atom
DOS(E_F) = 5.72 states/eV/f.u.

***

21.
Density functional theory data (PBE) for a geometry-optimized TlNiRu2 structure.

Cell and atoms, written as POSCAR:
```
TlNiRu2
1.0
-0.148 -4.229 2.012
2.426 -3.945 0.711
2.040 1.110 4.278
Ru Ni Tl
2 1 1
Cartesian
4.280 -7.084 6.921
3.333 -5.177 5.464
1.062 -1.829 1.703
2.120 -3.571 3.415
```

Values from the calculation:
Symmetry = No. 8
ΔE_f = 0.440 eV per atom
DOS(E_F) = 4.11 states/eV/f.u.

***

22.
Density functional theory data (PBE) for a geometry-optimized TlNi2Ru structure.

Cell and atoms, written as POSCAR:
```
TlNi2Ru
1.0
-0.148 -4.303 -1.659
4.142 0.468 1.979
-1.070 -0.911 2.457
Tl Ru Ni
1 1 2
Cartesian
1.536 -0.222 2.218
-0.609 -2.607 0.399
1.997 -1.918 0.160
0.000 0.000 0.000
```

Values from the calculation:
Symmetry = No. 65
ΔE_f = 0.425 eV per atom
DOS(E_F) = 5.49 states/eV/f.u.

***

23.
Density functional theory data (PBE) for a geometry-optimized TlNiRu2 structure.

Cell and atoms, written as POSCAR:
```
TlNiRu2
1.0
-0.013 2.417 1.575
-3.242 1.844 -2.855
-5.547 -0.425 0.608
Ru Tl Ni
2 1 1
Cartesian
-1.627 2.130 -0.640
0.000 0.000 0.000
-4.401 1.918 -0.336
-2.773 -0.213 0.304
```

Values from the calculation:
Symmetry = No. 10
ΔE_f = 0.547 eV per atom
DOS(E_F) = 6.28 states/eV/f.u.

***

24.
Density functional theory data (PBE) for a geometry-optimized TlNi2Ru structure.

Cell and atoms, written as POSCAR:
```
TlNi2Ru
1.0
8.461 -0.004 -0.003
7.965 2.853 -0.003
7.965 1.381 2.496
Ru Ni Tl
1 2 1
Cartesian
12.437 2.157 1.270
24.181 4.194 2.470
6.153 1.067 0.628
18.206 3.157 1.859
```

Values from the calculation:
Symmetry = No. 160
ΔE_f = 0.584 eV per atom
DOS(E_F) = 5.79 states/eV/f.u.

***

25.
Density functional theory data (PBE) for a geometry-optimized TlNiRu3 structure.

Cell and atoms, written as POSCAR:
```
TlNiRu3
1.0
-1.403 1.743 -3.936
1.089 -3.862 -2.098
-4.165 -1.597 0.778
Tl Ru Ni
1 3 1
Cartesian
-2.240 -1.858 -2.628
-0.702 0.871 -1.968
-2.082 -0.798 0.389
0.544 -1.931 -1.049
0.000 0.000 0.000
```

Values from the calculation:
Symmetry = No. 221
ΔE_f = 1.306 eV per atom
DOS(E_F) = 4.60 states/eV/f.u.

***

26.
Density functional theory data (PBE) for a geometry-optimized Tl3NiRu structure.

Cell and atoms, written as POSCAR:
```
Tl3NiRu
1.0
-4.397 2.056 -1.120
-0.443 -3.070 -3.898
-2.299 -3.341 2.893
Tl Ni Ru
3 1 1
Cartesian
-1.149 -1.670 1.447
-2.199 1.028 -0.560
-0.221 -1.535 -1.949
0.000 0.000 0.000
-3.569 -2.178 -1.062
```

Values from the calculation:
Symmetry = No. 221
ΔE_f = 0.907 eV per atom
DOS(E_F) = 7.72 states/eV/f.u.

***

27.
Density functional theory data (PBE) for a geometry-optimized TlNi2Ru structure.

Cell and atoms, written as POSCAR:
```
TlNi2Ru
1.0
4.144 0.000 0.000
0.000 2.802 0.152
0.000 1.141 5.100
Tl Ru Ni
1 1 2
Cartesian
2.072 3.126 4.128
0.000 1.809 2.299
2.072 0.454 1.395
0.000 0.525 0.055
```

Values from the calculation:
Symmetry = No. 6
ΔE_f = 0.414 eV per atom
DOS(E_F) = 5.54 states/eV/f.u.

***

28.
Density functional theory data (PBE) for a geometry-optimized TlNiRu2 structure.

Cell and atoms, written as POSCAR:
```
TlNiRu2
1.0
-0.189 -3.505 -1.060
1.729 0.572 -2.201
6.422 -0.696 1.156
Ru Ni Tl
2 1 1
Cartesian
1.752 0.566 -2.184
1.726 -1.725 -0.946
6.133 -1.876 -1.232
4.154 -0.083 -0.466
```

Values from the calculation:
Symmetry = No. 25
ΔE_f = 0.367 eV per atom
DOS(E_F) = 3.34 states/eV/f.u.

***

29.
Density functional theory data (PBE) for a geometry-optimized TlNiRu structure.

Cell and atoms, written as POSCAR:
```
TlNiRu
1.0
-3.733 -1.101 1.641
-0.228 -3.153 2.801
-0.855 0.833 4.052
Tl Ru Ni
1 1 1
Cartesian
-2.408 -1.711 4.247
0.000 0.000 0.000
-3.612 -2.566 6.370
```

Values from the calculation:
Symmetry = No. 216
ΔE_f = 0.616 eV per atom
DOS(E_F) = 4.90 states/eV/f.u.

***

30.
Density functional theory data (PBE) for a geometry-optimized TlNiRuW2 structure.

Cell and atoms, written as POSCAR:
```
TlNiRuW2
1.0
4.477 0.000 0.000
0.000 4.609 0.000
0.000 0.000 4.477
Tl W Ru Ni
1 2 1 1
Cartesian
2.238 2.304 2.238
0.000 0.000 2.238
2.238 0.000 0.000
0.000 2.304 0.000
0.000 0.000 0.000
```

Values from the calculation:
Symmetry = No. 123
ΔE_f = 1.502 eV per atom
DOS(E_F) = 7.43 states/eV/f.u.